w.
Ce2TaS6 (GGA-PBE, optimized geometry); DOS(E_F) = 7.678 states/eV/f.u.; space group = No. 14; ρ = 5.43 Mg/m³
1.0
6.2567 0.0000 -0.0076
0.0000 7.2871 0.0000
0.2879 0.0000 8.7654
Ce Ta S
4 2 12
Direct
0.0351 0.6163 0.7502
0.4649 0.1163 0.7498
0.5351 0.8837 0.2502
0.9649 0.3837 0.2498
0.5000 0.5000 0.0000
0.0000 0.0000 0.5000
0.1250 0.0333 0.2356
0.1522 0.3015 0.5598
0.1716 0.3333 0.9421
0.3284 0.8333 0.5579
0.3478 0.8015 0.9402
0.3750 0.5333 0.2644
0.8750 0.9667 0.7644
0.8478 0.6985 0.4402
0.8284 0.6667 0.0579
0.6716 0.1667 0.4421
0.6522 0.1985 0.0598
0.6250 0.4667 0.7356

=====

x.
Ce2TaS6 (GGA-PBE, optimized geometry); DOS(E_F) = 9.478 states/eV/f.u.; space group = No. 136; ρ = 4.62 Mg/m³
1.0
-1.8531 -4.0013 4.4541
3.0875 -4.6334 -2.8778
9.7894 2.5634 6.3757
Ce Ta S
4 2 12
Direct
0.0000 0.0000 0.3293
0.5000 0.5000 0.8293
0.5000 0.5000 0.1707
0.0000 0.0000 0.6707
0.0000 0.0000 0.0000
0.5000 0.5000 0.5000
0.3109 0.3109 0.3529
0.6891 0.6891 0.3529
0.1891 0.8109 0.8529
0.8109 0.1891 0.8529
0.1891 0.8109 0.1471
0.8109 0.1891 0.1471
0.3109 0.3109 0.6471
0.6891 0.6891 0.6471
0.2847 0.2847 0.0000
0.7153 0.7153 0.0000
0.2153 0.7847 0.5000
0.7847 0.2153 0.5000

=====

w ends up most stable, edging out the next structure by 145 meV per atom.

=====

w.
Tb3CeS4 (GGA-PBE, optimized geometry); DOS(E_F) = 7.986 states/eV/f.u.; space group = No. 221; ρ = 7.09 Mg/m³
1.0
-5.0273 -0.0127 2.4379
2.0882 -2.9056 4.2911
1.2581 4.7722 2.6192
Tb Ce S
3 1 4
Direct
0.0000 0.5000 0.5000
0.5000 0.0000 0.5000
0.5000 0.5000 0.0000
0.0000 0.0000 0.0000
0.5000 0.0000 0.0000
0.0000 0.5000 0.0000
0.0000 0.0000 0.5000
0.5000 0.5000 0.5000

=====

x.
Tb3CeS4 (GGA-PBE, optimized geometry); DOS(E_F) = 7.484 states/eV/f.u.; space group = No. 65; ρ = 7.10 Mg/m³
1.0
-3.3946 1.1815 1.6007
1.4266 -3.5787 5.6668
2.5093 6.3444 0.6385
S Tb Ce
4 3 1
Direct
0.0000 0.2559 0.2559
0.5000 0.7472 0.2528
0.0000 0.7441 0.7441
0.5000 0.2528 0.7472
0.0000 0.0000 0.5000
0.5000 0.5000 0.5000
0.0000 0.5000 0.0000
0.5000 0.0000 0.0000

=====

x ends up most stable, edging out the next structure by 8 meV per atom.

=====

w.
TbCeS (GGA-PBE, optimized geometry); DOS(E_F) = 6.377 states/eV/f.u.; space group = No. 84; ρ = 6.49 Mg/m³
1.0
3.9259 0.0000 0.0000
0.0000 9.2904 0.0000
0.0000 0.0000 9.2904
Tb Ce S
4 4 4
Direct
0.5000 0.7551 0.0423
0.5000 0.2449 0.9577
0.0000 0.0423 0.2449
0.0000 0.9577 0.7551
0.5000 0.7504 0.4582
0.0000 0.5418 0.7504
0.0000 0.4582 0.2496
0.5000 0.2496 0.5418
0.5000 0.2440 0.2458
0.0000 0.7542 0.2440
0.0000 0.2458 0.7560
0.5000 0.7560 0.7542

=====

x.
TbCeS (GGA-PBE, optimized geometry); DOS(E_F) = 6.462 states/eV/f.u.; space group = No. 156; ρ = 6.67 Mg/m³
1.0
-1.0323 5.0237 4.0379
-3.3818 -1.4816 0.9787
3.1369 -0.9369 1.9676
S Tb Ce
1 1 1
Direct
0.3400 0.3333 0.6667
0.5888 0.6667 0.3333
0.0712 0.0000 0.0000

=====

x ends up most stable, edging out the next structure by 21 meV per atom.

=====

w.
CeTeS (GGA-PBE, optimized geometry); DOS(E_F) = 1.889 states/eV/f.u.; space group = No. 187; ρ = 6.14 Mg/m³
1.0
4.3810 0.0000 0.0000
0.0000 4.6241 0.0000
0.0000 -2.3121 4.0046
S Te Ce
1 1 1
Direct
0.1669 0.3333 0.6667
0.6666 0.6667 0.3333
0.1665 0.0000 0.0000

=====

x.
CeTeS (GGA-PBE, optimized geometry); DOS(E_F) = 2.208 states/eV/f.u.; space group = No. 63; ρ = 6.03 Mg/m³
1.0
4.6296 0.0000 0.0000
-2.3148 4.0243 0.0000
0.0000 0.0000 8.8635
Ce S Te
2 2 2
Direct
0.6652 0.3303 0.7500
0.3348 0.6697 0.2500
0.6677 0.3353 0.2500
0.3323 0.6647 0.7500
0.0000 0.0000 0.0000
0.0000 0.0000 0.5000

=====

y.
CeTeS (GGA-PBE, optimized geometry); DOS(E_F) = 2.756 states/eV/f.u.; space group = No. 107; ρ = 6.57 Mg/m³
1.0
-2.8546 2.3476 -0.8034
-2.4650 -2.5429 1.3276
3.0571 2.2326 4.5648
S Te Ce
1 1 1
Direct
0.0376 0.0376 0.0752
0.3214 0.3214 0.6428
0.6410 0.6410 0.2819

=====

z.
CeTeS (GGA-PBE, optimized geometry); DOS(E_F) = 2.304 states/eV/f.u.; space group = No. 129; ρ = 6.39 Mg/m³
1.0
-1.3231 -0.1227 4.2386
2.9130 -3.2529 0.8152
5.4806 5.3775 1.8647
Ce Te S
2 2 2
Direct
0.7500 0.7500 0.2107
0.2500 0.2500 0.7893
0.2502 0.2502 0.3738
0.7498 0.7498 0.6262
0.7500 0.2500 0.0000
0.2500 0.7500 0.0000

=====

z ends up most stable, edging out the next structure by 151 meV per atom.

=====

w.
CeTh2S4 (GGA-PBE, optimized geometry); DOS(E_F) = 8.465 states/eV/f.u.; space group = No. 122; ρ = 7.95 Mg/m³
1.0
6.9301 0.0000 -2.4579
-3.4751 6.0000 -2.4476
0.0201 0.0000 7.3530
Ce Th S
2 4 8
Direct
0.7500 0.5000 0.2500
0.0000 0.0000 0.0000
0.3750 0.8736 0.7486
0.4986 0.3736 0.6250
0.8750 0.1264 0.5014
0.2514 0.6264 0.1250
0.7798 0.2511 0.8754
0.9702 0.5956 0.7212
0.6243 0.7489 0.5288
0.1257 0.4044 0.3746
0.4712 0.0956 0.2202
0.6254 0.7511 0.0298
0.2788 0.2489 0.8743
0.1246 0.9044 0.3757

=====

x.
CeTh2S4 (GGA-PBE, optimized geometry); DOS(E_F) = 9.061 states/eV/f.u.; space group = No. 63; ρ = 6.94 Mg/m³
1.0
-1.3755 -3.5011 -1.1804
6.2711 0.7752 -3.0231
5.7395 -5.7705 10.4264
Ce Th S
2 4 8
Direct
0.6224 0.2449 0.7500
0.3776 0.7551 0.2500
0.1380 0.2760 0.4343
0.8620 0.7240 0.9343
0.1380 0.2760 0.0657
0.8620 0.7240 0.5657
0.7738 0.5477 0.1314
0.7738 0.5477 0.3686
0.2262 0.4523 0.8686
0.2262 0.4523 0.6314
0.9686 0.9372 0.7500
0.0314 0.0628 0.2500
0.5000 0.0000 0.0000
0.5000 0.0000 0.5000

=====

w ends up most stable, edging out the next structure by 44 meV per atom.

=====

w.
CeTi4S8 (GGA-PBE, optimized geometry); DOS(E_F) = 10.731 states/eV/f.u.; space group = No. 166; ρ = 3.62 Mg/m³
1.0
-4.0568 -2.0827 5.1842
-1.6684 -6.6718 0.6118
3.3630 -3.8941 5.6649
Ce Ti S
1 4 8
Direct
0.5000 0.5000 0.5000
0.0000 0.5000 0.0000
0.5000 0.5000 0.0000
0.5000 0.0000 0.0000
0.0000 0.0000 0.0000
0.7489 0.2369 0.7774
0.7631 0.2511 0.2226
0.2511 0.7631 0.2226
0.7631 0.7631 0.2226
0.7378 0.7378 0.7867
0.2622 0.2622 0.2133
0.2369 0.2369 0.7774
0.2369 0.7489 0.7774

=====

x.
CeTi4S8 (GGA-PBE, optimized geometry); DOS(E_F) = 11.713 states/eV/f.u.; space group = No. 216; ρ = 3.47 Mg/m³
1.0
-2.5537 -1.9918 -6.6029
1.3023 -6.7716 -2.5567
-5.4963 -4.8605 -0.5039
Ce Ti S
1 4 8
Direct
0.7500 0.7500 0.7500
0.9184 0.3605 0.3605
0.3605 0.9184 0.3605
0.3605 0.3605 0.9184
0.3605 0.3605 0.3605
0.6131 0.1290 0.1290
0.1290 0.6131 0.1290
0.1290 0.1290 0.6131
0.1290 0.1290 0.1290
0.1845 0.6052 0.6052
0.6052 0.1845 0.6052
0.6052 0.6052 0.1845
0.6052 0.6052 0.6052

=====

w ends up most stable, edging out the next structure by 163 meV per atom.

=====

w.
CeTiS3 (GGA-PBE, optimized geometry); DOS(E_F) = 6.598 states/eV/f.u.; space group = No. 62; ρ = 4.90 Mg/m³
1.0
-3.2987 -1.6102 -0.6884
3.1407 -3.7856 -6.1948
3.2554 -9.9830 7.7509
Ce Ti S
4 4 12
Direct
0.7500 0.9187 0.8276
0.2500 0.0813 0.1724
0.7500 0.4187 0.6724
0.2500 0.5813 0.3276
0.2500 0.3501 0.9498
0.2500 0.8501 0.5502
0.7500 0.1499 0.4498
0.7500 0.6499 0.0502
0.2500 0.3387 0.5099
0.7500 0.8030 0.2134
0.7500 0.5265 0.8840
0.7500 0.0265 0.6160
0.7500 0.6613 0.4901
0.2500 0.9735 0.3840
0.2500 0.8387 0.9901
0.7500 0.3030 0.2866
0.2500 0.6970 0.7134
0.2500 0.1970 0.7866
0.7500 0.1613 0.0099
0.2500 0.4735 0.1160

=====

x.
CeTiS3 (GGA-PBE, optimized geometry); DOS(E_F) = 8.650 states/eV/f.u.; space group = No. 65; ρ = 4.57 Mg/m³
1.0
-2.6026 3.3249 -1.9832
-4.1595 -4.4760 -2.0455
-1.5044 2.9067 6.8478
Ce Ti S
2 2 6
Direct
0.0000 0.6602 0.3204
0.0000 0.3398 0.6796
0.5000 0.1140 0.2281
0.5000 0.8860 0.7719
0.5000 0.2796 0.0000
0.0000 0.8688 0.7376
0.5000 0.7204 0.0000
0.5000 0.5000 0.5000
0.0000 0.1312 0.2624
0.5000 0.0000 0.5000

=====

w ends up most stable, edging out the next structure by 216 meV per atom.

=====

w.
CeTlS3 (GGA-PBE, optimized geometry); DOS(E_F) = 1.595 states/eV/f.u.; space group = No. 12; ρ = 4.79 Mg/m³
1.0
-2.0153 0.0218 -5.0081
1.2711 -7.4319 -0.5439
-6.2378 1.0685 5.4243
Ce Tl S
2 2 6
Direct
0.0000 0.5000 0.0000
0.0000 0.0000 0.0000
0.2718 0.7568 0.5436
0.7282 0.2432 0.4564
0.8696 0.6628 0.7392
0.6356 0.1886 0.8136
0.1304 0.3372 0.2608
0.1780 0.1886 0.8136
0.3644 0.8114 0.1864
0.8220 0.8114 0.1864

=====

x.
CeTlS3 (GGA-PBE, optimized geometry); DOS(E_F) = 6.868 states/eV/f.u.; space group = No. 11; ρ = 4.87 Mg/m³
1.0
4.2334 0.0000 0.0000
0.0000 6.9685 0.4966
0.0000 -2.3898 10.0217
Ce Tl S
2 2 6
Direct
0.2500 0.2778 0.5744
0.7500 0.7222 0.4256
0.2500 0.1162 0.1387
0.7500 0.8838 0.8613
0.7500 0.0313 0.6407
0.7500 0.5321 0.6399
0.2500 0.9687 0.3593
0.2500 0.4679 0.3601
0.2500 0.7569 0.9650
0.7500 0.2431 0.0350

=====

w ends up most stable, edging out the next structure by 27 meV per atom.